(1)
This record from Alexandria via LeMat-Bulk describes Rb2NiBi2 after structural relaxation. The functional is PBE. Values from VASP.

Computed properties:
M_tot (μB per formula unit): 0.00
Density (g/cm³): 6.5
Space-group type: P4/mbm, No. 127
ΔE_f (meV per atom): -35
Polymorph energy (0 for the lowest one) (kcal/mol of atoms): 0.00

```
&SYSTEM
  ibrav = 0, nat = 10, ntyp = 3
/
ATOMIC_SPECIES
Bi 208.98 Bi.upf
Rb 85.47 Rb.upf
Ni 58.69 Ni.upf
CELL_PARAMETERS angstrom
7.2187 0.0000 0.0000
0.0000 7.2187 0.0000
0.0000 0.0000 6.3060
ATOMIC_POSITIONS angstrom
Bi 4.7331 1.1238 0.0000
Bi 2.4856 6.0949 0.0000
Bi 1.1238 2.4856 0.0000
Bi 6.0949 4.7331 0.0000
Rb 2.3858 1.2235 3.1530
Rb 4.8329 5.9952 3.1530
Rb 1.2235 4.8329 3.1530
Rb 5.9952 2.3858 3.1530
Ni 0.0000 0.0000 0.0000
Ni 3.6094 3.6094 0.0000
```


(2)
This record from Alexandria via LeMat-Bulk describes MgCoW3 after structural relaxation. The functional is PBE. Values from VASP.

Computed properties:
M_tot (μB per formula unit): 0.00
Density (g/cm³): 11.5
Space-group type: Pm-3m, No. 221
ΔE_f (meV per atom): 1306
Polymorph energy (0 for the lowest one) (kcal/mol of atoms): 0.00

```
&SYSTEM
  ibrav = 0, nat = 5, ntyp = 3
/
ATOMIC_SPECIES
Co 58.93 Co.upf
W 183.84 W.upf
Mg 24.30 Mg.upf
CELL_PARAMETERS angstrom
4.5062 0.0000 0.0000
0.0000 4.5062 0.0000
0.0000 0.0000 4.5062
ATOMIC_POSITIONS angstrom
Co 0.0000 0.0000 0.0000
W 0.0000 2.2531 0.0000
W 2.2531 0.0000 0.0000
W 0.0000 0.0000 2.2531
Mg 2.2531 2.2531 2.2531
```


(3)
This record from Alexandria via LeMat-Bulk describes PdSNF2 after structural relaxation. The functional is PBE. Values from VASP.

Computed properties:
M_tot (μB per formula unit): 0.89
Density (g/cm³): 4.7
E_form (uncorrected) (meV per atom): 327
Space-group type: P4/mmm, No. 123
Polymorph energy (0 for the lowest one) (kcal/mol of atoms): 0.00

```
&SYSTEM
  ibrav = 0, nat = 5, ntyp = 4
/
ATOMIC_SPECIES
Pd 106.42 Pd.upf
F 19.00 F.upf
S 32.06 S.upf
N 14.01 N.upf
CELL_PARAMETERS angstrom
-3.8828 -1.9623 -1.2957
1.8943 -1.1284 -3.9679
1.0093 -2.8506 1.2925
ATOMIC_POSITIONS angstrom
Pd -0.4896 -2.9707 -1.9855
F 0.9472 -0.5642 -1.9839
F -1.9414 -0.9811 -0.6478
S 0.0000 0.0000 0.0000
N 0.5047 -1.4253 0.6463
```


(4)
This record from Alexandria via LeMat-Bulk describes Hg2IrBr after structural relaxation. The functional is PBE. Values from VASP.

Computed properties:
M_tot (μB per formula unit): 0.00
Density (g/cm³): 10.2
E_form (uncorrected) (meV per atom): 471
Space-group type: Pmm2, No. 25
Polymorph energy (0 for the lowest one) (kcal/mol of atoms): 3.71

```
&SYSTEM
  ibrav = 0, nat = 4, ntyp = 3
/
ATOMIC_SPECIES
Hg 200.59 Hg.upf
Ir 192.22 Ir.upf
Br 79.90 Br.upf
CELL_PARAMETERS angstrom
4.1541 0.0000 0.0000
0.0000 3.4062 0.0000
0.0000 0.0000 7.7135
ATOMIC_POSITIONS angstrom
Hg 0.0000 0.0000 7.6749
Hg 2.0770 1.7031 2.8092
Ir 0.0000 0.0000 2.5680
Br 2.0770 1.7031 6.2315
```


polymorph energy (0 for the lowest one) of number 3 (PdSNF2)? 0.00 kcal/mol of atoms